Entry from the Alexandria database: Ac5Ge3O after structural relaxation (PBE).

a b c (Å): 8.7486 8.7486 9.5665
angles (deg): 117.21 117.21 90.00
Last column: nearest neighbours and their distance in Å.
Element x y z (fractional)
1 Ac 0.1999 0.0109 0.7108  1 O 2.46
2 Ac 0.3001 0.8001 0.2892  1 O 2.46
3 Ac 0.6999 0.1999 0.7108  1 O 2.46
4 Ge 0.6449 0.1449 0.0000  8 Ac 3.25-3.37, 1 Ge 3.59
5 Ac 0.8001 0.9891 0.2892  1 O 2.46
6 Ac 0.9891 0.4891 0.2892  1 O 2.46
7 Ge 0.7500 0.7500 0.5000  10 Ac 3.65
8 Ge 0.8551 0.6449 0.0000  8 Ac 3.25-3.37, 1 Ge 3.59
9 O 0.7500 0.2500 0.5000  4 Ac 2.46
10 Ac 0.0000 0.0000 0.0000  6 Ge 3.36-3.65
11 Ac 0.4891 0.3001 0.2892  1 O 2.46
12 Ge 0.2500 0.2500 0.5000  10 Ac 3.65
13 Ac 0.0109 0.5109 0.7108  1 O 2.46
14 Ac 0.5109 0.6999 0.7108  1 O 2.46
15 Ge 0.1449 0.3551 0.0000  8 Ac 3.25-3.37, 1 Ge 3.59
16 O 0.2500 0.7500 0.5000  4 Ac 2.46
17 Ge 0.3551 0.8551 0.0000  8 Ac 3.25-3.37, 1 Ge 3.59
18 Ac 0.5000 0.5000 0.0000  6 Ge 3.36-3.65

Results
Symmetry: No. 140
E_form (uncorrected) in eV per atom: -1.131

***

Entry from the Alexandria database: Ac6Ge3O after structural relaxation (PBE).

a b c (Å): 7.0117 8.3723 10.9838
angles (deg): 90.00 91.08 90.00
Last column: nearest neighbours and their distance in Å.
Element x y z (fractional)
1 Ac 0.3550 0.5447 0.7375  1 O 2.84, 1 Ge 3.06
2 Ac 0.8550 0.9553 0.2375  1 O 2.84, 1 Ge 3.06
3 Ac 0.6704 0.1660 0.9374  1 O 2.77
4 Ac 0.8296 0.6660 0.5626  1 O 2.77
5 Ac 0.1704 0.3340 0.4374  1 O 2.77
6 Ge 0.5000 0.5000 0.0000  6 Ac 3.06-3.13
7 Ge 0.9279 0.3865 0.7584  6 Ac 3.24-3.36
8 Ac 0.6428 0.2064 0.5634  1 O 2.74
9 Ac 0.1450 0.0447 0.7625  1 O 2.84, 1 Ge 3.06
10 Ac 0.1428 0.2936 0.0634  1 O 2.74
11 Ac 0.8572 0.7064 0.9366  1 O 2.74
12 Ge 0.0721 0.6135 0.2416  6 Ac 3.24-3.36
13 Ac 0.3296 0.8340 0.0626  1 O 2.77
14 Ge 0.0000 0.0000 0.5000  6 Ac 3.06-3.13
15 Ge 0.5721 0.8865 0.7416  6 Ac 3.24-3.36
16 Ac 0.6450 0.4553 0.2625  1 O 2.84, 1 Ge 3.06
17 Ac 0.3572 0.7936 0.4366  1 O 2.74
18 O 0.0000 0.0000 0.0000  6 Ac 2.74-2.84
19 O 0.5000 0.5000 0.5000  6 Ac 2.74-2.84
20 Ge 0.4279 0.1135 0.2584  6 Ac 3.24-3.36

Results
Symmetry: No. 14
E_form (uncorrected) in eV per atom: -0.928

***

Entry from the Alexandria database: Ac3Ge5O12 after structural relaxation (PBE).

a b c (Å): 11.6455 11.6455 11.6455
angles (deg): 109.47 109.47 109.47
Last column: nearest neighbours and their distance in Å.
Element x y z (fractional)
1 Ac 0.7500 0.3750 0.1250  8 O 2.61-2.71
2 O 0.2980 0.5167 0.3929  1 Ge 1.81
3 Ac 0.7500 0.8750 0.6250  8 O 2.61-2.71
4 O 0.3929 0.0167 0.2980  1 Ge 1.81
5 O 0.8762 0.2813 0.4833  1 Ge 1.81
6 Ge 0.1250 0.7500 0.3750  4 O 1.81
7 Ge 0.1250 0.3750 0.2500  4 O 1.81
8 Ge 0.0000 0.0000 0.5000  6 O 2.37
9 O 0.3762 0.9833 0.7813  1 Ge 1.81
10 O 0.7980 0.9050 0.2813  1 Ge 1.81
11 O 0.1071 0.2020 0.4833  1 Ge 1.81
12 Ac 0.1250 0.2500 0.8750  8 O 2.61-2.71
13 Ge 0.3750 0.1250 0.7500  4 O 1.81
14 O 0.7187 0.1238 0.0167  1 Ge 1.81
15 O 0.8762 0.5950 0.8929  1 Ge 1.81
16 Ge 0.6250 0.8750 0.2500  4 O 1.81
17 O 0.6238 0.6071 0.9050  1 Ge 1.81
18 Ac 0.8750 0.7500 0.1250  8 O 2.61-2.71
19 O 0.0167 0.6238 0.7187  1 Ge 1.81
20 O 0.7813 0.2980 0.9050  1 Ge 1.81
21 Ge 0.5000 0.0000 0.0000  6 O 2.37
22 Ge 0.5000 0.5000 0.5000  6 O 2.37
23 O 0.9050 0.7980 0.7813  1 Ge 1.81
24 O 0.9050 0.1071 0.6238  1 Ge 1.81
25 O 0.0167 0.3929 0.7980  1 Ge 1.81
26 Ac 0.2500 0.6250 0.8750  8 O 2.61-2.71
27 Ac 0.3750 0.6250 0.2500  8 O 2.61-2.71
28 Ge 0.5000 0.0000 0.5000  6 O 2.37
29 Ac 0.3750 0.7500 0.6250  8 O 2.61-2.71
30 O 0.2813 0.4050 0.7980  1 Ge 1.81
31 O 0.7020 0.2187 0.5950  1 Ge 1.81
32 O 0.5950 0.8762 0.3929  1 Ge 1.81
33 O 0.8929 0.0950 0.8762  1 Ge 1.81
34 O 0.6238 0.0167 0.2187  1 Ge 1.81
35 O 0.6071 0.9833 0.7020  1 Ge 1.81
36 Ac 0.1250 0.8750 0.7500  8 O 2.61-2.71
37 Ge 0.2500 0.8750 0.1250  4 O 1.81
38 Ge 0.5000 0.5000 0.0000  6 O 2.37
39 O 0.9833 0.3762 0.2813  1 Ge 1.81
40 O 0.9833 0.6071 0.2020  1 Ge 1.81
41 O 0.2187 0.5167 0.6238  1 Ge 1.81
42 Ge 0.2500 0.3750 0.6250  4 O 1.81
43 Ge 0.0000 0.0000 0.0000  6 O 2.37
44 O 0.2020 0.1071 0.9833  1 Ge 1.81
45 O 0.0950 0.2020 0.2187  1 Ge 1.81
46 O 0.7020 0.4833 0.6071  1 Ge 1.81
47 Ge 0.7500 0.6250 0.3750  4 O 1.81
48 Ge 0.8750 0.6250 0.7500  4 O 1.81
49 O 0.4833 0.7813 0.8762  1 Ge 1.81
50 O 0.3762 0.3929 0.0950  1 Ge 1.81
51 O 0.0950 0.8929 0.3762  1 Ge 1.81
52 Ac 0.8750 0.1250 0.2500  8 O 2.61-2.71
53 O 0.5167 0.2980 0.8929  1 Ge 1.81
54 O 0.5167 0.2187 0.1238  1 Ge 1.81
55 O 0.6071 0.6238 0.4050  1 Ge 1.81
56 O 0.8929 0.7980 0.5167  1 Ge 1.81
57 O 0.3929 0.3762 0.5950  1 Ge 1.81
58 Ge 0.0000 0.5000 0.5000  6 O 2.37
59 O 0.4050 0.1238 0.6071  1 Ge 1.81
60 O 0.2980 0.7813 0.4050  1 Ge 1.81
61 O 0.7813 0.4833 0.3762  1 Ge 1.81
62 O 0.1071 0.9050 0.1238  1 Ge 1.81
63 Ac 0.6250 0.3750 0.7500  8 O 2.61-2.71
64 Ge 0.8750 0.2500 0.6250  4 O 1.81
65 O 0.4050 0.2813 0.2980  1 Ge 1.81
66 Ge 0.0000 0.5000 0.0000  6 O 2.37
67 O 0.4833 0.7020 0.1071  1 Ge 1.81
68 O 0.1238 0.4050 0.1071  1 Ge 1.81
69 Ge 0.6250 0.7500 0.8750  4 O 1.81
70 O 0.1238 0.7187 0.5167  1 Ge 1.81
71 O 0.2020 0.0950 0.7187  1 Ge 1.81
72 O 0.2813 0.8762 0.9833  1 Ge 1.81
73 Ac 0.2500 0.1250 0.3750  8 O 2.61-2.71
74 Ac 0.6250 0.2500 0.3750  8 O 2.61-2.71
75 O 0.2187 0.7020 0.0950  1 Ge 1.81
76 O 0.7187 0.5950 0.2020  1 Ge 1.81
77 O 0.7980 0.8929 0.0167  1 Ge 1.81
78 Ge 0.3750 0.2500 0.1250  4 O 1.81
79 Ge 0.7500 0.1250 0.8750  4 O 1.81
80 O 0.5950 0.7187 0.7020  1 Ge 1.81

Results
Symmetry: No. 230
E_form (uncorrected) in eV per atom: -2.127

***

Entry from the Alexandria database: Ac6Ge3O2 after structural relaxation (PBE).

a b c (Å): 5.0503 5.0503 13.4269
angles (deg): 100.84 100.84 90.00
Last column: nearest neighbours and their distance in Å.
Element x y z (fractional)
1 O 0.3961 0.3961 0.7922  5 Ac 2.52-2.60
2 Ac 0.0803 0.5803 0.1606  2 O 2.60
3 Ac 0.4197 0.9197 0.8394  2 O 2.60
4 Ge 0.8269 0.8269 0.6538  9 Ac 3.26-3.64
5 Ac 0.5803 0.0803 0.1606  2 O 2.60
6 Ac 0.2989 0.2989 0.5977  1 O 2.52
7 O 0.6039 0.6039 0.2078  5 Ac 2.52-2.60
8 Ac 0.7011 0.7011 0.4023  1 O 2.52
9 Ac 0.9197 0.4197 0.8394  2 O 2.60
10 Ge 0.1731 0.1731 0.3462  9 Ac 3.26-3.64
11 Ge 0.0000 0.0000 0.0000  8 Ac 3.27

Results
Symmetry: No. 139
E_form (uncorrected) in eV per atom: -1.374

***

Entry from the Alexandria database: Ac3Ge2O after structural relaxation (PBE).

a b c (Å): 4.2314 7.1870 11.5570
angles (deg): 90.00 100.55 90.00
Last column: nearest neighbours and their distance in Å.
Element x y z (fractional)
1 Ac 0.2151 0.2500 0.4302  2 O 2.52
2 Ge 0.9914 0.7500 0.9828  8 Ac 3.33-3.47, 2 Ge 3.61
3 O 0.6546 0.2500 0.3093  4 Ac 2.44-2.52
4 Ac 0.5859 0.9888 0.1718  1 O 2.44
5 Ge 0.0086 0.2500 0.0172  8 Ac 3.33-3.47, 2 Ge 3.61
6 Ac 0.7849 0.7500 0.5698  2 O 2.52
7 O 0.3454 0.7500 0.6907  4 Ac 2.44-2.52
8 Ac 0.4141 0.4888 0.8282  1 O 2.44
9 Ac 0.4141 0.0112 0.8282  1 O 2.44
10 Ac 0.5859 0.5112 0.1718  1 O 2.44
11 Ge 0.1746 0.7500 0.3492  6 Ac 3.28-3.39
12 Ge 0.8254 0.2500 0.6508  6 Ac 3.28-3.39

Results
Symmetry: No. 63
E_form (uncorrected) in eV per atom: -1.377
Offset from the most stable computed form in kJ per mole of atoms: 0.44

***

Entry from the Alexandria database: Ac3Ge2O after structural relaxation (PBE).

a b c (Å): 4.4019 9.2964 17.9078
angles (deg): 90.00 90.00 90.00
Last column: nearest neighbours and their distance in Å.
Element x y z (fractional)
1 Ac 0.7500 0.3610 0.0751  1 O 2.47
2 Ac 0.2500 0.0036 0.1058  2 O 2.51
3 Ge 0.2500 0.4106 0.2153  7 Ac 3.27-3.37
4 O 0.2500 0.8784 0.8655  4 Ac 2.47-2.51
5 Ac 0.7500 0.4964 0.6058  2 O 2.51
6 Ac 0.7500 0.9964 0.8942  2 O 2.51
7 Ac 0.7500 0.8610 0.4249  1 O 2.47
8 Ac 0.2500 0.6390 0.9249  1 O 2.47
9 Ac 0.7500 0.6703 0.2275  1 O 2.51
10 Ge 0.2500 0.2529 0.9587  6 Ac 3.19-3.51
11 Ac 0.2500 0.8297 0.7275  1 O 2.51
12 Ge 0.2500 0.9106 0.2847  7 Ac 3.27-3.37
13 Ge 0.2500 0.7529 0.5413  6 Ac 3.19-3.51
14 Ac 0.7500 0.1703 0.2725  1 O 2.51
15 O 0.7500 0.6216 0.3655  4 Ac 2.47-2.51
16 Ge 0.7500 0.7471 0.0413  6 Ac 3.19-3.51
17 Ge 0.7500 0.0894 0.7153  7 Ac 3.27-3.37
18 Ac 0.2500 0.3297 0.7725  1 O 2.51
19 O 0.2500 0.3784 0.6345  4 Ac 2.47-2.51
20 Ac 0.2500 0.1390 0.5751  1 O 2.47
21 Ge 0.7500 0.5894 0.7847  7 Ac 3.27-3.37
22 O 0.7500 0.1216 0.1345  4 Ac 2.47-2.51
23 Ge 0.7500 0.2471 0.4587  6 Ac 3.19-3.51
24 Ac 0.2500 0.5036 0.3942  2 O 2.51

Results
Symmetry: No. 62
E_form (uncorrected) in eV per atom: -1.382
Offset from the most stable computed form in kJ per mole of atoms: 0.00

***

Repeat the fourth record exactly.
Entry from the Alexandria database: Ac6Ge3O2 after structural relaxation (PBE).

a b c (Å): 5.0503 5.0503 13.4269
angles (deg): 100.84 100.84 90.00
Last column: nearest neighbours and their distance in Å.
Element x y z (fractional)
1 O 0.3961 0.3961 0.7922  5 Ac 2.52-2.60
2 Ac 0.0803 0.5803 0.1606  2 O 2.60
3 Ac 0.4197 0.9197 0.8394  2 O 2.60
4 Ge 0.8269 0.8269 0.6538  9 Ac 3.26-3.64
5 Ac 0.5803 0.0803 0.1606  2 O 2.60
6 Ac 0.2989 0.2989 0.5977  1 O 2.52
7 O 0.6039 0.6039 0.2078  5 Ac 2.52-2.60
8 Ac 0.7011 0.7011 0.4023  1 O 2.52
9 Ac 0.9197 0.4197 0.8394  2 O 2.60
10 Ge 0.1731 0.1731 0.3462  9 Ac 3.26-3.64
11 Ge 0.0000 0.0000 0.0000  8 Ac 3.27

Results
Symmetry: No. 139
E_form (uncorrected) in eV per atom: -1.374